[1]
Compound: Dy6In3Bi
Source: the Alexandria database
Functional: PBE-GGA
Structure: relaxed

Cell: 6.757 10.084 10.084 Å, 121.25 90.00 90.00°
Positions (direct):
Bi 0.058 0.152 0.848
Bi 0.558 0.848 0.152
In 0.009 0.687 0.906
In 0.509 0.313 0.094
In 0.509 0.906 0.687
In 0.655 0.587 0.413
In 0.009 0.094 0.313
In 0.155 0.413 0.587
Dy 0.279 0.990 0.010
Dy 0.779 0.010 0.990
Dy 0.299 0.087 0.547
Dy 0.269 0.706 0.294
Dy 0.799 0.913 0.453
Dy 0.299 0.453 0.913
Dy 0.555 0.633 0.749
Dy 0.555 0.251 0.367
Dy 0.055 0.367 0.251
Dy 0.799 0.547 0.087
Dy 0.055 0.749 0.633
Dy 0.769 0.294 0.706

SG	Cmc2_1, No. 36
density	8.64	g/cm³
DFT formation energy	-320	meV per atom

***

[2]
Compound: DyInBi2
Source: the Alexandria database
Functional: PBE-GGA
Structure: relaxed

Cell: 5.763 5.102 10.288 Å, 90.00 90.00 124.39°
Positions (direct):
Dy 0.127 0.254 0.750
Dy 0.873 0.746 0.250
Bi 0.200 0.400 0.430
Bi 0.800 0.600 0.930
Bi 0.800 0.600 0.570
Bi 0.200 0.400 0.070
In 0.509 0.018 0.250
In 0.491 0.982 0.750

SG	Cmcm, No. 63
density	9.25	g/cm³
DFT formation energy	-206	meV per atom
ΔE to the lowest computed polymorph	0.179	eV/atom

***

[3]
Compound: DyInBi2
Source: the Alexandria database
Functional: PBE-GGA
Structure: relaxed

Cell: 4.732 4.732 7.448 Å, 71.48 71.48 60.00°
Positions (direct):
Bi 0.257 0.257 0.228
Bi 0.079 0.079 0.762
Dy 0.666 0.666 0.003
In 0.498 0.498 0.507

SG	R3m, No. 160
density	8.59	g/cm³
DFT formation energy	-211	meV per atom
ΔE to the lowest computed polymorph	0.175	eV/atom

***

[4]
Compound: Dy5In2Bi2
Source: the Alexandria database
Functional: PBE-GGA
Structure: relaxed

Cell: 8.206 8.205 8.909 Å, 117.42 90.00 90.00°
Positions (direct):
Dy 0.332 0.964 0.267
Dy 0.668 0.303 0.267
Dy 0.332 0.697 0.733
Dy 0.168 0.464 0.267
Dy 0.168 0.197 0.733
Dy 0.832 0.536 0.733
Dy 0.000 0.000 0.000
Dy 0.668 0.036 0.733
Dy 0.832 0.803 0.267
Dy 0.500 0.500 0.000
Bi 0.500 0.294 0.589
Bi 0.000 0.794 0.589
Bi 0.500 0.706 0.411
Bi 0.000 0.206 0.411
In 0.129 0.629 0.000
In 0.629 0.871 0.000
In 0.371 0.129 0.000
In 0.871 0.371 0.000

SG	Cmce, No. 64
density	9.11	g/cm³
DFT formation energy	-633	meV per atom